Entry 1:
Material: Er3UO8
Method: DFT, PBE
State: optimized geometry

Unit cell a=5.3188 b=5.3188 c=5.3188 alpha=90.00 beta=90.00 gamma=90.00
Positions (direct):
Er1 0.0000 0.0000 0.5000
Er2 0.0000 0.5000 0.0000
Er3 0.5000 0.0000 0.0000
U1 0.5000 0.5000 0.5000
O1 0.2585 0.2585 0.2585
O2 0.2585 0.2585 0.7415
O3 0.2585 0.7415 0.2585
O4 0.2585 0.7415 0.7415
O5 0.7415 0.2585 0.2585
O6 0.7415 0.2585 0.7415
O7 0.7415 0.7415 0.2585
O8 0.7415 0.7415 0.7415

Calculated values
E_tot ... -104.35 eV/cell
Space-group type ... No. 221
E_form (uncorrected) ... -3.309 eV/atom
Density ... 9577 kg/m³

=====

Entry 2:
Material: ErU4O10
Method: DFT, PBE
State: optimized geometry

Unit cell a=6.5971 b=6.5971 c=6.5971 alpha=99.59 beta=99.59 gamma=131.81
Positions (direct):
Er1 0.0000 0.0000 0.0000
U1 0.2014 0.6012 0.8026
U2 0.3988 0.2014 0.6001
U3 0.6012 0.7986 0.3999
U4 0.7986 0.3988 0.1974
O1 0.0494 0.1515 0.6977
O2 0.1515 0.4537 0.1021
O3 0.2500 0.7500 0.5000
O4 0.3516 0.0494 0.8979
O5 0.4537 0.3516 0.3023
O6 0.5463 0.6484 0.6977
O7 0.6484 0.9506 0.1021
O8 0.7500 0.2500 0.5000
O9 0.8485 0.5463 0.8979
O10 0.9506 0.8485 0.3023

Calculated values
E_tot ... -149.90 eV/cell
Space-group type ... No. 87
E_form (uncorrected) ... -3.373 eV/atom
Density ... 10875 kg/m³

=====

Entry 3:
Material: Er2UO6
Method: DFT, PBE
State: optimized geometry

Unit cell a=6.4170 b=6.4170 c=6.4170 alpha=145.36 beta=131.08 gamma=61.33
Positions (direct):
Er1 0.1669 0.1669 0.0000
Er2 0.8331 0.8331 0.0000
U1 0.5000 0.5000 0.0000
O1 0.0998 0.3425 0.7574
O2 0.2650 0.0000 0.2650
O3 0.4149 0.6575 0.7574
O4 0.5851 0.3425 0.2426
O5 0.7350 0.0000 0.7350
O6 0.9002 0.6575 0.2426

Calculated values
ΔE to the lowest computed polymorph ... 0 meV per atom
E_tot ... -81.49 eV/cell
Space-group type ... No. 71
E_form (uncorrected) ... -3.481 eV/atom
Density ... 9905 kg/m³

=====

Entry 4:
Material: ErU2O7
Method: DFT, PBE
State: optimized geometry

Unit cell a=10.3997 b=10.3997 c=10.3997 alpha=21.19 beta=21.19 gamma=21.19
Positions (direct):
Er1 0.0000 0.0000 0.0000
U1 0.4318 0.4318 0.4318
U2 0.5682 0.5682 0.5682
O1 0.0762 0.0762 0.0762
O2 0.2204 0.2204 0.2204
O3 0.3613 0.3613 0.3613
O4 0.5000 0.5000 0.5000
O5 0.6387 0.6387 0.6387
O6 0.7796 0.7796 0.7796
O7 0.9238 0.9238 0.9238

Calculated values
E_tot ... -94.76 eV/cell
Space-group type ... No. 166
E_form (uncorrected) ... -3.292 eV/atom
Density ... 9744 kg/m³

=====

Entry 5:
Material: ErUO2
Method: DFT, PBE
State: optimized geometry

Unit cell a=6.8598 b=6.8598 c=6.8598 alpha=29.67 beta=29.67 gamma=29.67
Positions (direct):
Er1 0.0000 0.0000 0.0000
U1 0.5000 0.5000 0.5000
O1 0.3866 0.3866 0.3866
O2 0.6134 0.6134 0.6134

Calculated values
E_tot ... -36.09 eV/cell
Space-group type ... No. 166
E_form (uncorrected) ... -2.581 eV/atom
Density ... 10367 kg/m³

=====

Entry 6:
Material: ErU2O6
Method: DFT, PBE
State: optimized geometry

Unit cell a=3.8279 b=3.8279 c=9.1610 alpha=90.00 beta=90.00 gamma=120.00
Positions (direct):
Er1 0.0000 0.0000 0.0000
U1 0.3333 0.6667 0.6720
U2 0.6667 0.3333 0.3280
O1 0.0000 0.0000 0.2579
O2 0.0000 0.0000 0.7421
O3 0.3333 0.6667 0.4185
O4 0.3333 0.6667 0.9076
O5 0.6667 0.3333 0.0924
O6 0.6667 0.3333 0.5815

Calculated values
E_tot ... -87.64 eV/cell
Space-group type ... No. 164
E_form (uncorrected) ... -3.417 eV/atom
Density ... 10561 kg/m³

=====

Entry 7:
Material: Er2UO6
Method: DFT, PBE
State: optimized geometry

Unit cell a=5.0616 b=5.0616 c=10.3611 alpha=90.00 beta=90.00 gamma=90.00
Positions (direct):
Er1 0.0000 0.0000 0.1660
Er2 0.0000 0.0000 0.8340
Er3 0.5000 0.5000 0.3340
Er4 0.5000 0.5000 0.6660
U1 0.0000 0.0000 0.5000
U2 0.5000 0.5000 0.0000
O1 0.1859 0.1859 0.3430
O2 0.1859 0.1859 0.6570
O3 0.2057 0.2057 0.0000
O4 0.2943 0.7057 0.5000
O5 0.3141 0.6859 0.1570
O6 0.3141 0.6859 0.8430
O7 0.6859 0.3141 0.1570
O8 0.6859 0.3141 0.8430
O9 0.7057 0.2943 0.5000
O10 0.7943 0.7943 0.0000
O11 0.8141 0.8141 0.3430
O12 0.8141 0.8141 0.6570

Calculated values
ΔE to the lowest computed polymorph ... 27 meV per atom
E_tot ... -162.49 eV/cell
Space-group type ... No. 136
E_form (uncorrected) ... -3.453 eV/atom
Density ... 8364 kg/m³

=====

Entry 8:
Material: YErUO6
Method: DFT, PBE
State: optimized geometry

Unit cell a=5.7412 b=5.7412 c=9.4017 alpha=90.00 beta=90.00 gamma=120.00
Positions (direct):
Y1 0.0000 0.0000 0.0000
Y2 0.0000 0.0000 0.5000
Er1 0.3333 0.6667 0.2500
Er2 0.6667 0.3333 0.7500
U1 0.3333 0.6667 0.7500
U2 0.6667 0.3333 0.2500
O1 0.0201 0.3540 0.6344
O2 0.0201 0.6660 0.8656
O3 0.3340 0.3540 0.8656
O4 0.3340 0.9799 0.6344
O5 0.3540 0.0201 0.1344
O6 0.3540 0.3340 0.3656
O7 0.6460 0.6660 0.6344
O8 0.6460 0.9799 0.8656
O9 0.6660 0.0201 0.3656
O10 0.6660 0.6460 0.1344
O11 0.9799 0.3340 0.1344
O12 0.9799 0.6460 0.3656

Calculated values
E_tot ... -164.57 eV/cell
Space-group type ... No. 163
E_form (uncorrected) ... -3.358 eV/atom
Density ... 7303 kg/m³

=====

Entry 9:
Material: ErZrUO6
Method: DFT, PBE
State: optimized geometry

Unit cell a=5.6460 b=5.6460 c=9.1536 alpha=90.00 beta=90.00 gamma=120.00
Positions (direct):
Er1 0.3333 0.6667 0.2500
Er2 0.6667 0.3333 0.7500
Zr1 0.0000 0.0000 0.0000
Zr2 0.0000 0.0000 0.5000
U1 0.3333 0.6667 0.7500
U2 0.6667 0.3333 0.2500
O1 0.0133 0.3302 0.6278
O2 0.0133 0.6830 0.8722
O3 0.3170 0.3302 0.8722
O4 0.3170 0.9867 0.6278
O5 0.3302 0.0133 0.1278
O6 0.3302 0.3170 0.3722
O7 0.6698 0.6830 0.6278
O8 0.6698 0.9867 0.8722
O9 0.6830 0.0133 0.3722
O10 0.6830 0.6698 0.1278
O11 0.9867 0.3170 0.1278
O12 0.9867 0.6698 0.3722

Calculated values
E_tot ... -166.83 eV/cell
Space-group type ... No. 163
E_form (uncorrected) ... -3.252 eV/atom
Density ... 7787 kg/m³

=====

- Which value of E_form (uncorrected) does entry 9 give?
  -3.252 eV/atom